PaB4: optimized geometry, GGA-PBE.

## Properties
- SG: P4/mbm, No. 127
- Calculated total energy: -7.8695 eV/atom

Cell: 7.094 7.094 4.002 Å, 90.00 90.00 90.00°
Sites, in units of the cell vectors:
Pa  0.190  0.310  0.000
Pa  0.310  0.810  0.000
Pa  0.690  0.190  0.000
Pa  0.810  0.690  0.000
B  0.000  0.000  0.199
B  0.000  0.000  0.801
B  0.039  0.822  0.500
B  0.088  0.588  0.500
B  0.178  0.039  0.500
B  0.322  0.539  0.500
B  0.412  0.088  0.500
B  0.461  0.322  0.500
B  0.500  0.500  0.199
B  0.500  0.500  0.801
B  0.539  0.678  0.500
B  0.588  0.912  0.500
B  0.678  0.461  0.500
B  0.822  0.961  0.500
B  0.912  0.412  0.500
B  0.961  0.178  0.500